[1]
Th2MnCo: optimized geometry, PBE.

Cell lengths 9.121, 9.121, 9.121 Å; angles 23.52, 23.52, 23.52 degrees
Atoms (fractional coordinates):
Th (0.105, 0.105, 0.105)
Th (0.895, 0.895, 0.895)
Mn (0.000, 0.000, 0.000)
Co (0.500, 0.500, 0.500)

Theoretical density: 9.040 g/cm3
DFT formation energy: 511 meV/atom
Electronic total energy: -29.07 eV per cell

---

[2]
ThMn2Co9: optimized geometry, PBE.

Cell lengths 8.330, 8.330, 8.330 Å; angles 33.77, 33.77, 33.77 degrees
Atoms (fractional coordinates):
Th (0.000, 0.000, 0.000)
Mn (0.145, 0.145, 0.145)
Mn (0.855, 0.855, 0.855)
Co (0.079, 0.592, 0.592)
Co (0.336, 0.336, 0.336)
Co (0.408, 0.408, 0.921)
Co (0.408, 0.921, 0.408)
Co (0.500, 0.500, 0.500)
Co (0.592, 0.079, 0.592)
Co (0.592, 0.592, 0.079)
Co (0.664, 0.664, 0.664)
Co (0.921, 0.408, 0.408)

Theoretical density: 9.100 g/cm3
DFT formation energy: -26 meV/atom
Electronic total energy: -90.02 eV per cell

---

[3]
Th8Mn2Co: optimized geometry, PBE.

Cell lengths 9.198, 9.198, 8.708 Å; angles 96.11, 96.11, 23.56 degrees
Atoms (fractional coordinates):
Th (0.009, 0.009, 0.214)
Th (0.218, 0.218, 0.334)
Th (0.339, 0.339, 0.030)
Th (0.404, 0.404, 0.463)
Th (0.596, 0.596, 0.537)
Th (0.661, 0.661, 0.970)
Th (0.782, 0.782, 0.666)
Th (0.991, 0.991, 0.786)
Mn (0.170, 0.170, 0.736)
Mn (0.830, 0.830, 0.264)
Co (0.500, 0.500, 0.000)

Theoretical density: 11.487 g/cm3
DFT formation energy: -10 meV/atom
Electronic total energy: -84.91 eV per cell

---

[4]
Th3MnCo8: optimized geometry, PBE.

Cell lengths 8.805, 8.805, 8.805 Å; angles 33.24, 33.24, 33.24 degrees
Atoms (fractional coordinates):
Th (0.000, 0.000, 0.000)
Th (0.130, 0.130, 0.130)
Th (0.517, 0.517, 0.517)
Mn (0.637, 0.637, 0.637)
Co (0.063, 0.568, 0.568)
Co (0.072, 0.072, 0.571)
Co (0.072, 0.571, 0.072)
Co (0.318, 0.318, 0.318)
Co (0.568, 0.063, 0.568)
Co (0.568, 0.568, 0.063)
Co (0.571, 0.072, 0.072)
Co (0.819, 0.819, 0.819)

Theoretical density: 11.117 g/cm3
DFT formation energy: -137 meV/atom
Electronic total energy: -89.91 eV per cell

---

[5]
Th8MnCo2: optimized geometry, PBE.

Cell lengths 9.229, 9.229, 8.752 Å; angles 95.04, 95.04, 23.28 degrees
Atoms (fractional coordinates):
Th (0.012, 0.012, 0.206)
Th (0.219, 0.219, 0.335)
Th (0.340, 0.340, 0.027)
Th (0.406, 0.406, 0.466)
Th (0.594, 0.594, 0.534)
Th (0.660, 0.660, 0.973)
Th (0.781, 0.781, 0.665)
Th (0.988, 0.988, 0.794)
Mn (0.500, 0.500, 0.000)
Co (0.171, 0.171, 0.733)
Co (0.829, 0.829, 0.267)

Theoretical density: 11.481 g/cm3
DFT formation energy: -82 meV/atom
Electronic total energy: -83.64 eV per cell

---

[6]
Th2MnCo9: optimized geometry, PBE.

Cell lengths 8.817, 8.817, 8.817 Å; angles 32.11, 32.11, 32.11 degrees
Atoms (fractional coordinates):
Th (0.134, 0.134, 0.134)
Th (0.866, 0.866, 0.866)
Mn (0.000, 0.000, 0.000)
Co (0.079, 0.577, 0.577)
Co (0.333, 0.333, 0.333)
Co (0.423, 0.423, 0.921)
Co (0.423, 0.921, 0.423)
Co (0.500, 0.500, 0.500)
Co (0.577, 0.079, 0.577)
Co (0.577, 0.577, 0.079)
Co (0.667, 0.667, 0.667)
Co (0.921, 0.423, 0.423)

Theoretical density: 10.123 g/cm3
DFT formation energy: 3 meV/atom
Electronic total energy: -87.93 eV per cell

---

[7]
Th2MnCo5: optimized geometry, PBE.

Cell lengths 5.803, 5.803, 5.803 Å; angles 122.78, 122.78, 85.24 degrees
Atoms (fractional coordinates):
Th (0.000, 0.500, 0.500)
Th (0.500, 0.000, 0.500)
Mn (0.273, 0.273, 0.000)
Co (0.531, 0.531, 0.563)
Co (0.531, 0.968, 0.000)
Co (0.536, 0.536, 0.000)
Co (0.968, 0.531, 0.000)
Co (0.968, 0.968, 0.437)

Theoretical density: 10.249 g/cm3
DFT formation energy: 8 meV/atom
Electronic total energy: -59.47 eV per cell

---

[8]
TiMnCo: optimized geometry, PBE.

Cell lengths 4.755, 4.755, 4.755 Å; angles 122.36, 119.10, 88.77 degrees
Atoms (fractional coordinates):
Ti (0.371, 0.121, 0.250)
Ti (0.629, 0.879, 0.750)
Mn (0.000, 0.000, 0.500)
Mn (0.000, 0.500, 0.000)
Co (0.000, 0.500, 0.500)
Co (0.500, 0.500, 0.000)

Theoretical density: 7.154 g/cm3
DFT formation energy: -279 meV/atom
Electronic total energy: -50.01 eV per cell
Energy relative to the lowest polymorph listed for this composition: 0 meV per atom